# Na3P3H5N3O7

Na3P3H5N3O7 at its PBEsol-relaxed geometry (meta-GGA SCAN, the Alexandria database). Values from VASP.

Quantum ESPRESSO input file:
```
&SYSTEM
  ibrav = 0, nat = 42, ntyp = 5
/
ATOMIC_SPECIES
H 1.01 H.upf
Na 22.99 Na.upf
N 14.01 N.upf
P 30.97 P.upf
O 16.00 O.upf
CELL_PARAMETERS angstrom
-6.862 -3.076 -1.215
4.201 -6.593 0.276
-0.866 1.836 7.555
ATOMIC_POSITIONS angstrom
H 0.048 -1.363 6.389
H -0.423 -0.635 0.951
Na 0.081 -5.216 3.448
N 0.415 -1.084 1.375
H -3.356 -6.780 6.025
P -5.090 -3.174 0.062
P -2.747 -7.066 3.861
O 0.548 -4.193 5.555
O -4.232 -3.380 1.285
O -1.428 -8.366 0.048
Na 1.524 -2.140 4.122
O -3.312 -6.394 2.634
Na -2.651 -1.717 1.885
N 0.545 -1.157 7.283
O -2.978 -5.856 -0.709
O 2.160 -6.554 0.448
O -0.359 -6.254 1.290
P -4.848 -3.443 5.871
H -5.929 -2.554 3.608
O -0.713 -1.475 4.699
Na 3.034 -4.653 1.952
H -2.126 -0.352 6.625
P 0.407 -2.742 1.049
N -5.108 -1.827 6.254
O 2.120 -6.418 3.491
H -0.782 -7.100 0.956
H -1.520 -2.753 4.056
Na -2.303 -4.788 1.293
P 1.597 -4.717 6.504
P -1.271 -0.080 4.467
N -6.814 -2.116 3.270
Na -1.734 -4.688 5.965
H -2.956 -3.502 3.923
O -1.990 -3.539 3.634
N -3.859 -6.888 5.121
O -1.432 -6.593 4.442
N -2.211 0.300 5.808
O 1.000 -3.460 2.237
H -5.194 -1.171 5.438
O -1.014 -3.040 0.620
O -4.532 -3.499 4.385
H 0.566 -6.243 0.902
```

Output
space group = No. 5
total moment = 0.00 μB/f.u.
D(E_F) = 0.000 states/eV/f.u.
E = -166.56 eV/f.u.
calculated volume = 10.5 A^3/atom

---

# SrTaRe2

SrTaRe2 at its PBEsol-relaxed geometry (meta-GGA SCAN, the Alexandria database). Values from VASP.

Quantum ESPRESSO input file:
```
&SYSTEM
  ibrav = 0, nat = 4, ntyp = 3
/
ATOMIC_SPECIES
Sr 87.62 Sr.upf
Re 186.21 Re.upf
Ta 180.95 Ta.upf
CELL_PARAMETERS angstrom
-3.008 -3.335 1.242
1.425 -3.550 2.660
-1.430 -0.318 4.423
ATOMIC_POSITIONS angstrom
Sr -1.506 -3.601 4.162
Re -2.260 -5.402 6.243
Re -0.753 -1.801 2.081
Ta 0.000 0.000 0.000
```

Output
ΔE to the lowest computed polymorph = 232 meV per atom
space group = No. 225
total moment = 0.00 μB/f.u.
D(E_F) = 3.312 states/eV/f.u.
E = -227.20 eV/f.u.
calculated volume = 17.9 A^3/atom

---

# BeCdCu

BeCdCu at its PBEsol-relaxed geometry (meta-GGA SCAN, the Alexandria database). Values from VASP.

Quantum ESPRESSO input file:
```
&SYSTEM
  ibrav = 0, nat = 3, ntyp = 3
/
ATOMIC_SPECIES
Cu 63.55 Cu.upf
Cd 112.41 Cd.upf
Be 9.01 Be.upf
CELL_PARAMETERS angstrom
4.099 0.000 0.000
2.049 3.550 0.000
2.049 1.183 3.347
ATOMIC_POSITIONS angstrom
Cu 0.000 0.000 0.000
Cd 2.049 1.183 0.837
Be 4.099 2.366 1.673
```

Output
space group = No. 216
total moment = 0.00 μB/f.u.
D(E_F) = 1.373 states/eV/f.u.
E = -48.12 eV/f.u.
calculated volume = 16.2 A^3/atom